Entry 1:
LiGe2Br | meta-GGA SCAN | PBEsol geometry

Cell and atoms, written as extended XYZ:
```
16
Lattice="6.8535 0.0000 0.0000 0.0000 6.8535 0.0000 0.0000 0.0000 6.8535" Properties=species:S:1:pos:R:3 pbc="T T T"
Li 0.0000 0.0000 0.0000
Li 0.0000 3.4267 3.4267
Li 3.4267 0.0000 3.4267
Li 3.4267 3.4267 0.0000
Ge 1.7134 1.7134 1.7134
Ge 1.7134 1.7134 5.1401
Ge 1.7134 5.1401 1.7134
Ge 1.7134 5.1401 5.1401
Ge 5.1401 1.7134 1.7134
Ge 5.1401 1.7134 5.1401
Ge 5.1401 5.1401 1.7134
Ge 5.1401 5.1401 5.1401
Br 0.0000 0.0000 3.4267
Br 0.0000 3.4267 0.0000
Br 3.4267 0.0000 0.0000
Br 3.4267 3.4267 3.4267
```

Entry 2:
LiGeBrN2 | meta-GGA SCAN | PBEsol geometry

Cell and atoms, written as extended XYZ:
```
5
Lattice="4.0812 0.0000 0.0000 0.0000 4.0812 0.0000 0.0000 0.0000 4.9244" Properties=species:S:1:pos:R:3 pbc="T T T"
Li 0.0000 0.0000 0.0000
Ge 2.0406 2.0406 0.0000
Br 2.0406 2.0406 2.4622
N 0.0000 2.0406 2.4622
N 2.0406 0.0000 2.4622
```

Entry 3:
LiGeSe2Br | meta-GGA SCAN | PBEsol geometry

Cell and atoms, written as extended XYZ:
```
5
Lattice="4.9112 0.0000 0.0000 0.0000 4.9112 0.0000 0.0000 0.0000 5.5086" Properties=species:S:1:pos:R:3 pbc="T T T"
Li 0.0000 0.0000 0.0000
Ge 2.4556 2.4556 2.7543
Se 0.0000 2.4556 2.7543
Se 2.4556 0.0000 2.7543
Br 2.4556 2.4556 0.0000
```

Number 1: total DFT energy (no corrections) -14.51 eV per atom, formation energy without anion corrections 0.495 eV/atom. Number 2: total DFT energy (no corrections) -9.92 eV per atom, formation energy without anion corrections 1.981 eV/atom. Number 3: total DFT energy (no corrections) -16.45 eV per atom, formation energy without anion corrections -0.236 eV/atom.